Here is an optimized crystal structure of YZrSb2I from Alexandria via LeMat-Bulk. Energies are from PBE-GGA.

abc: 5.7520 5.7520 5.7336
angles: 90.00 90.00 90.00
Last column: nearest neighbours and their distance in Å.
Space group P4/mmm (No. 123)
Inequivalent atoms, fractional coordinates:
Y1 0.0000 0.0000 0.0000 [1 per cell]  2 I 2.87, 4 Sb 2.88
Zr1 0.5000 0.5000 0.5000 [1 per cell]  8 Sb 4.06, 4 I 4.07
Sb1 0.0000 0.5000 0.0000 [2 per cell]  2 Y 2.88
I1 0.0000 0.0000 0.5000 [1 per cell]  2 Y 2.87

Values from the calculation:
Size of the total moment in μB per formula unit: 1.6
Energy relative to the lowest polymorph listed for this composition in meV per atom: 508
V in Å³ per atom: 37.9
Formation energy without anion corrections in eV/f.u.: 2.3
Crystal system: tetragonal